A relaxed structure of BaGdZn2. Source: Alexandria, functional PBE.

## Properties
- D(E_F): 13.8 states/eV/cell
- Formation energy from the elements: 0.015 eV per atom

The structure in CIF format:
```
data_BaGdZn2
_chemical_formula_sum 'Ba3 Gd3 Zn6'
_cell_length_a 3.9782
_cell_length_b 3.9782
_cell_length_c 27.4149
_cell_angle_alpha 90.00
_cell_angle_beta 90.00
_cell_angle_gamma 120.00
_space_group_name_H-M_alt 'R -3 m'
_space_group_IT_number 166
_space_group_name_Hall '-R 3 2"'
loop_
_atom_site_label
_atom_site_fract_x
_atom_site_fract_y
_atom_site_fract_z
Ba1 0.0000 0.0000 0.0000
Gd1 0.0000 0.0000 0.5000
Zn1 0.0000 0.0000 0.2400
```